The following is a GGA-PBE calculation of a geometry-optimized BaLiPmBr6 structure, from Alexandria.

Unit cell a=7.319 b=7.319 c=14.104 alpha=90.00 beta=90.00 gamma=120.00
Element x y z (fractional)
Ba (0.000, 0.000, 0.000)
Ba (0.000, 0.000, 0.500)
Li (0.333, 0.667, 0.250)
Li (0.667, 0.333, 0.750)
Pm (0.333, 0.667, 0.750)
Pm (0.667, 0.333, 0.250)
Br (0.009, 0.368, 0.135)
Br (0.009, 0.641, 0.365)
Br (0.359, 0.368, 0.365)
Br (0.359, 0.991, 0.135)
Br (0.368, 0.009, 0.635)
Br (0.368, 0.359, 0.865)
Br (0.632, 0.641, 0.135)
Br (0.632, 0.991, 0.365)
Br (0.641, 0.009, 0.865)
Br (0.641, 0.632, 0.635)
Br (0.991, 0.359, 0.635)
Br (0.991, 0.632, 0.865)

## Properties
Magnetic moment ... 0.00 μB/cell
Crystal system ... trigonal



The following is a GGA-PBE calculation of a geometry-optimized BaLi2PmBr8 structure, from Alexandria.

Unit cell a=7.072 b=7.072 c=9.314 alpha=90.00 beta=90.00 gamma=120.00
Element x y z (fractional)
Ba (0.000, 0.000, 0.000)
Li (0.333, 0.667, 0.735)
Li (0.667, 0.333, 0.265)
Pm (0.000, 0.000, 0.500)
Br (0.011, 0.694, 0.302)
Br (0.306, 0.317, 0.302)
Br (0.317, 0.011, 0.698)
Br (0.333, 0.667, 0.003)
Br (0.667, 0.333, 0.997)
Br (0.683, 0.989, 0.302)
Br (0.694, 0.683, 0.698)
Br (0.989, 0.306, 0.698)

## Properties
Magnetic moment ... 1.11 μB/cell
Crystal system ... trigonal



The following is a GGA-PBE calculation of a geometry-optimized BaLi2PuBr8 structure, from Alexandria.

Unit cell a=6.785 b=6.785 c=9.636 alpha=90.00 beta=90.00 gamma=120.00
Element x y z (fractional)
Ba (0.000, 0.000, 0.000)
Li (0.333, 0.667, 0.748)
Li (0.667, 0.333, 0.252)
Pu (0.000, 0.000, 0.500)
Br (0.026, 0.697, 0.319)
Br (0.303, 0.329, 0.319)
Br (0.329, 0.026, 0.681)
Br (0.333, 0.667, 0.997)
Br (0.667, 0.333, 0.003)
Br (0.671, 0.974, 0.319)
Br (0.697, 0.671, 0.681)
Br (0.974, 0.303, 0.681)

## Properties
Magnetic moment ... 3.95 μB/cell
Crystal system ... trigonal



The following is a GGA-PBE calculation of a geometry-optimized BaLiPuBr6 structure, from Alexandria.

Unit cell a=7.334 b=7.334 c=14.050 alpha=90.00 beta=90.00 gamma=120.00
Element x y z (fractional)
Ba (0.000, 0.000, 0.000)
Ba (0.000, 0.000, 0.500)
Li (0.333, 0.667, 0.250)
Li (0.667, 0.333, 0.750)
Pu (0.333, 0.667, 0.750)
Pu (0.667, 0.333, 0.250)
Br (0.010, 0.367, 0.136)
Br (0.010, 0.643, 0.364)
Br (0.357, 0.367, 0.364)
Br (0.357, 0.990, 0.136)
Br (0.367, 0.010, 0.636)
Br (0.367, 0.357, 0.864)
Br (0.633, 0.643, 0.136)
Br (0.633, 0.990, 0.364)
Br (0.643, 0.010, 0.864)
Br (0.643, 0.633, 0.636)
Br (0.990, 0.357, 0.636)
Br (0.990, 0.633, 0.864)

## Properties
Magnetic moment ... 10.00 μB/cell
Crystal system ... trigonal



The following is a GGA-PBE calculation of a geometry-optimized Rb2BaLiBr5 structure, from Alexandria.

Unit cell a=10.256 b=10.256 c=14.794 alpha=90.00 beta=90.00 gamma=153.24
Element x y z (fractional)
Rb (0.101, 0.899, 0.500)
Rb (0.122, 0.878, 0.168)
Rb (0.878, 0.122, 0.668)
Rb (0.899, 0.101, 0.000)
Ba (0.192, 0.808, 0.859)
Ba (0.808, 0.192, 0.359)
Li (0.453, 0.547, 0.242)
Li (0.547, 0.453, 0.742)
Br (0.032, 0.968, 0.819)
Br (0.293, 0.707, 0.507)
Br (0.322, 0.678, 0.209)
Br (0.350, 0.650, 0.837)
Br (0.493, 0.507, 0.591)
Br (0.507, 0.493, 0.091)
Br (0.650, 0.350, 0.337)
Br (0.678, 0.322, 0.709)
Br (0.707, 0.293, 0.007)
Br (0.968, 0.032, 0.319)

## Properties
Magnetic moment ... 0.00 μB/cell
Crystal system ... orthorhombic



The following is a GGA-PBE calculation of a geometry-optimized Ba2LiRhBr structure, from Alexandria.

Unit cell a=6.011 b=6.011 c=4.762 alpha=90.00 beta=90.00 gamma=90.00
Element x y z (fractional)
Ba (0.000, 0.500, 0.000)
Ba (0.500, 0.000, 0.000)
Li (0.000, 0.000, 0.500)
Rh (0.000, 0.000, 0.000)
Br (0.500, 0.500, 0.500)

## Properties
Magnetic moment ... 0.00 μB/cell
Crystal system ... tetragonal



The E_form (uncorrected) results, record by record, are as follows: -1888; -1534; -1504; -1721; -1835; -608 meV per atom.